1.
A relaxed structure of NbPb2CI, computed with GGA-PBE.

Values from the calculation:
Raw formation energy: 2.094 eV per atom
Fermi-level density of states: 4.85 states/eV per cell

Lattice parameters (Å, degrees): 5.996 5.996 4.130 90.00 90.00 90.00
Space group P4/mmm (No. 123)
Inequivalent atoms, fractional coordinates:
Nb (0.000, 0.000, 0.000) [1 per cell]
Pb (0.000, 0.500, 0.500) [2 per cell]
C (0.500, 0.500, 0.000) [1 per cell]
I (0.500, 0.500, 0.500) [1 per cell]



2.
A relaxed structure of Nb2PdCI, computed with GGA-PBE.

Values from the calculation:
Raw formation energy: 0.373 eV per atom
Fermi-level density of states: 4.65 states/eV per cell

Lattice parameters (Å, degrees): 4.500 4.500 4.111 90.00 90.00 90.00
Space group P4/mmm (No. 123)
Inequivalent atoms, fractional coordinates:
Nb (0.000, 0.500, 0.000) [2 per cell]
Pd (0.000, 0.000, 0.500) [1 per cell]
C (0.000, 0.000, 0.000) [1 per cell]
I (0.500, 0.500, 0.500) [1 per cell]



3.
A relaxed structure of NbSb2CI, computed with GGA-PBE.

Values from the calculation:
Raw formation energy: 1.644 eV per atom
Fermi-level density of states: 6.31 states/eV per cell

Lattice parameters (Å, degrees): 5.378 5.378 5.495 90.00 90.00 90.00
Space group P4/mmm (No. 123)
Inequivalent atoms, fractional coordinates:
Nb (0.000, 0.000, 0.000) [1 per cell]
Sb (0.000, 0.500, 0.000) [2 per cell]
C (0.500, 0.500, 0.500) [1 per cell]
I (0.000, 0.000, 0.500) [1 per cell]



4.
A relaxed structure of NbSb2CI, computed with GGA-PBE.

Values from the calculation:
Raw formation energy: 1.295 eV per atom
Fermi-level density of states: 5.02 states/eV per cell

Lattice parameters (Å, degrees): 4.668 4.668 4.842 90.00 90.00 90.00
Space group P4/mmm (No. 123)
Inequivalent atoms, fractional coordinates:
Nb (0.000, 0.000, 0.000) [1 per cell]
Sb (0.000, 0.500, 0.500) [2 per cell]
C (0.500, 0.500, 0.500) [1 per cell]
I (0.500, 0.500, 0.000) [1 per cell]



5.
A relaxed structure of NbTe2CI, computed with GGA-PBE.

Values from the calculation:
Raw formation energy: 1.449 eV per atom
Fermi-level density of states: 5.24 states/eV per cell

Lattice parameters (Å, degrees): 5.377 5.377 5.668 90.00 90.00 90.00
Space group P4/mmm (No. 123)
Inequivalent atoms, fractional coordinates:
Nb (0.000, 0.000, 0.000) [1 per cell]
Te (0.000, 0.500, 0.000) [2 per cell]
C (0.500, 0.500, 0.500) [1 per cell]
I (0.000, 0.000, 0.500) [1 per cell]



6.
A relaxed structure of NbTe2CI, computed with GGA-PBE.

Values from the calculation:
Raw formation energy: 1.257 eV per atom
Fermi-level density of states: 2.14 states/eV per cell

Lattice parameters (Å, degrees): 4.738 4.738 4.906 90.00 90.00 90.00
Space group P4/mmm (No. 123)
Inequivalent atoms, fractional coordinates:
Nb (0.000, 0.000, 0.000) [1 per cell]
Te (0.000, 0.500, 0.500) [2 per cell]
C (0.500, 0.500, 0.500) [1 per cell]
I (0.500, 0.500, 0.000) [1 per cell]



7.
A relaxed structure of NbW2CI, computed with GGA-PBE.

Values from the calculation:
Raw formation energy: 3.749 eV per atom
Fermi-level density of states: 5.68 states/eV per cell

Lattice parameters (Å, degrees): 4.859 4.859 5.003 90.00 90.00 90.00
Space group P4/mmm (No. 123)
Inequivalent atoms, fractional coordinates:
Nb (0.000, 0.000, 0.000) [1 per cell]
W (0.000, 0.500, 0.500) [2 per cell]
C (0.500, 0.500, 0.000) [1 per cell]
I (0.000, 0.000, 0.500) [1 per cell]



8.
A relaxed structure of YNbCI2, computed with GGA-PBE.

Values from the calculation:
Raw formation energy: 1.493 eV per atom
Fermi-level density of states: 3.83 states/eV per cell

Lattice parameters (Å, degrees): 5.394 5.394 5.661 90.00 90.00 90.00
Space group P4/mmm (No. 123)
Inequivalent atoms, fractional coordinates:
Y (0.000, 0.000, 0.000) [1 per cell]
Nb (0.000, 0.000, 0.500) [1 per cell]
C (0.500, 0.500, 0.000) [1 per cell]
I (0.000, 0.500, 0.500) [2 per cell]



9.
A relaxed structure of Nd3CI3, computed with GGA-PBE.

Values from the calculation:
Raw formation energy: -1.014 eV per atom
Fermi-level density of states: 4.09 states/eV per cell

Lattice parameters (Å, degrees): 9.021 4.034 12.224 90.00 92.43 90.00
Space group P2_1/m (No. 11)
Inequivalent atoms, fractional coordinates:
Nd (0.085, 0.250, 0.398) [2 per cell]
Nd (0.112, 0.250, 0.819) [2 per cell]
Nd (0.298, 0.750, 0.615) [2 per cell]
C (0.118, 0.250, 0.616) [2 per cell]
I (0.145, 0.250, 0.125) [2 per cell]
I (0.378, 0.750, 0.872) [2 per cell]
I (0.383, 0.750, 0.365) [2 per cell]



10.
A relaxed structure of Nd4C2I3, computed with GGA-PBE.

Values from the calculation:
Raw formation energy: -0.704 eV per atom
Fermi-level density of states: 3.46 states/eV per cell

Lattice parameters (Å, degrees): 15.499 3.766 9.354 90.00 104.57 90.00
Space group C2/m (No. 12)
Inequivalent atoms, fractional coordinates:
Nd (0.097, 0.000, 0.215) [4 per cell]
Nd (0.187, 0.500, 0.598) [4 per cell]
C (0.193, 0.500, 0.340) [4 per cell]
I (0.000, 0.000, 0.500) [2 per cell]
I (0.099, 0.500, 0.907) [4 per cell]



11.
A relaxed structure of Nd2CI2, computed with GGA-PBE.

Values from the calculation:
Raw formation energy: -0.868 eV per atom

Lattice parameters (Å, degrees): 6.959 4.017 12.333 90.00 102.19 90.00
Space group C2/m (No. 12)
Inequivalent atoms, fractional coordinates:
Nd (0.210, 0.000, 0.116) [4 per cell]
C (0.000, 0.500, 0.000) [2 per cell]
I (0.054, 0.000, 0.699) [4 per cell]



12.
A relaxed structure of Nd3C2I2, computed with GGA-PBE.

Values from the calculation:
Raw formation energy: -0.445 eV per atom
Fermi-level density of states: 3.24 states/eV per cell

Lattice parameters (Å, degrees): 3.792 6.444 8.193 97.62 96.69 101.84
Space group P-1 (No. 2)
Inequivalent atoms, fractional coordinates:
Nd (0.000, 0.000, 0.000) [1 per cell]
Nd (0.176, 0.446, 0.803) [2 per cell]
C (0.365, 0.720, 0.051) [2 per cell]
I (0.233, 0.222, 0.383) [2 per cell]



no.,spin magnetization (μB per formula unit),E (eV/cell)
1,2.72,-17.79
2,0.00,-34.24
3,2.08,-20.87
4,0.00,-22.61
5,2.27,-19.88
6,2.13,-20.84
7,0.00,-28.00
8,2.71,-21.39
9,0.00,-70.55
10,0.00,-97.01
11,0.00,-52.40
12,0.00,-38.97